Record 1
! GdAlSi2 | the Alexandria database | PBE | relaxed; values from VASP
! - Uncorrected formation energy: -0.32 eV per atom
&SYSTEM
  ibrav = 0, nat = 4, ntyp = 3
/
ATOMIC_SPECIES
Gd 157.25 Gd.upf
Al 26.98 Al.upf
Si 28.09 Si.upf
CELL_PARAMETERS angstrom
4.264 0.000 0.000
0.000 4.264 0.000
0.000 0.000 4.028
ATOMIC_POSITIONS crystal
Gd 0.000 0.000 0.000
Al 0.500 0.500 0.000
Si 0.000 0.500 0.500
Si 0.500 0.000 0.500

=====

Record 2
Here is a geometry-optimized RbNbB2H structure from the Alexandria database. Energies are from PBE. Values from VASP.

Cell and atoms, written as Quantum ESPRESSO input:
```
&SYSTEM
  ibrav = 0, nat = 5, ntyp = 4
/
ATOMIC_SPECIES
Rb 85.47 Rb.upf
Nb 92.91 Nb.upf
B 10.81 B.upf
H 1.01 H.upf
CELL_PARAMETERS angstrom
4.787 0.000 0.000
0.000 4.787 0.000
0.000 0.000 3.234
ATOMIC_POSITIONS crystal
Rb 0.000 0.000 0.000
Nb 0.500 0.500 0.500
B 0.000 0.500 0.000
B 0.500 0.000 0.000
H 0.000 0.000 0.500
```

=====

Record 3
! Ni3IN | the Alexandria database | PBE | relaxed; values from VASP
! - ΔE to the lowest computed polymorph: 1.5832 eV per atom
! - Uncorrected formation energy: 2.01 eV per atom
&SYSTEM
  ibrav = 0, nat = 5, ntyp = 3
/
ATOMIC_SPECIES
Ni 58.69 Ni.upf
I 126.90 I.upf
N 14.01 N.upf
CELL_PARAMETERS angstrom
4.690 0.000 0.000
0.000 4.690 0.000
0.000 0.000 4.690
ATOMIC_POSITIONS crystal
Ni 0.000 0.000 0.500
Ni 0.000 0.500 0.000
Ni 0.500 0.000 0.000
I 0.000 0.000 0.000
N 0.500 0.500 0.500

=====

Record 4
! Rb2CuRuI6 | the Alexandria database | PBE | relaxed; values from VASP
! - Uncorrected formation energy: -0.52 eV per atom
&SYSTEM
  ibrav = 0, nat = 10, ntyp = 4
/
ATOMIC_SPECIES
Rb 85.47 Rb.upf
Cu 63.55 Cu.upf
Ru 101.07 Ru.upf
I 126.90 I.upf
CELL_PARAMETERS angstrom
0.000 5.633 5.633
5.633 0.000 5.633
5.633 5.633 0.000
ATOMIC_POSITIONS crystal
Rb 0.250 0.250 0.250
Rb 0.750 0.750 0.750
Cu 0.000 0.000 0.000
Ru 0.500 0.500 0.500
I 0.255 0.255 0.745
I 0.255 0.745 0.255
I 0.255 0.745 0.745
I 0.745 0.255 0.255
I 0.745 0.255 0.745
I 0.745 0.745 0.255

=====

Record 5
! K5Rb3Au3 | the Alexandria database | PBE | relaxed; values from VASP
! - Formation energy from the elements: -0.141 eV/atom
&SYSTEM
  ibrav = 0, nat = 11, ntyp = 3
/
ATOMIC_SPECIES
K 39.10 K.upf
Rb 85.47 Rb.upf
Au 196.97 Au.upf
CELL_PARAMETERS angstrom
10.416 0.000 0.000
-5.208 9.020 0.000
0.000 0.000 6.890
ATOMIC_POSITIONS crystal
K 0.000 0.750 0.000
K 0.250 0.250 0.000
K 0.333 0.667 0.000
K 0.667 0.333 0.000
K 0.750 0.000 0.000
Rb 0.000 0.360 0.500
Rb 0.360 0.000 0.500
Rb 0.640 0.640 0.500
Au 0.000 0.377 0.000
Au 0.377 0.000 0.000
Au 0.623 0.623 0.000

=====

Record 6
! Ac8NiGe2 | the Alexandria database | PBE | relaxed; values from VASP
! - Formation energy from the elements: -0.277 eV/atom
&SYSTEM
  ibrav = 0, nat = 11, ntyp = 3
/
ATOMIC_SPECIES
Ac 227.00 Ac.upf
Ni 58.69 Ni.upf
Ge 72.64 Ge.upf
CELL_PARAMETERS angstrom
9.968 -2.194 0.000
9.968 2.194 0.000
-1.343 0.000 9.382
ATOMIC_POSITIONS crystal
Ac 0.007 0.007 0.204
Ac 0.215 0.215 0.344
Ac 0.343 0.343 0.003
Ac 0.402 0.402 0.454
Ac 0.598 0.598 0.546
Ac 0.657 0.657 0.997
Ac 0.785 0.785 0.656
Ac 0.993 0.993 0.796
Ni 0.500 0.500 0.000
Ge 0.183 0.183 0.759
Ge 0.817 0.817 0.241

=====

Record 7
! LaPuAu3 | the Alexandria database | PBE | relaxed; values from VASP
! - Formation energy from the elements: -0.640 eV/atom
&SYSTEM
  ibrav = 0, nat = 10, ntyp = 3
/
ATOMIC_SPECIES
La 138.91 La.upf
Pu 244.00 Pu.upf
Au 196.97 Au.upf
CELL_PARAMETERS angstrom
1.848 -14.303 0.000
1.848 14.303 0.000
0.000 0.000 4.673
ATOMIC_POSITIONS crystal
La 0.074 0.926 0.750
La 0.926 0.074 0.250
Pu 0.211 0.789 0.250
Pu 0.789 0.211 0.750
Au 0.319 0.681 0.250
Au 0.377 0.623 0.750
Au 0.474 0.526 0.750
Au 0.526 0.474 0.250
Au 0.623 0.377 0.250
Au 0.681 0.319 0.750

=====

Record 8
! BaZn2Ag2 | the Alexandria database | PBE | relaxed; values from VASP
! - ΔE to the lowest computed polymorph: 0.0273 eV per atom
! - Formation energy from the elements: -0.168 eV/atom
&SYSTEM
  ibrav = 0, nat = 10, ntyp = 3
/
ATOMIC_SPECIES
Ba 137.33 Ba.upf
Zn 65.41 Zn.upf
Ag 107.87 Ag.upf
CELL_PARAMETERS angstrom
5.973 0.000 0.000
2.618 5.385 0.000
1.456 2.438 7.760
ATOMIC_POSITIONS crystal
Ba 0.249 0.351 0.249
Ba 0.751 0.649 0.751
Zn 0.229 0.978 0.016
Zn 0.280 0.721 0.498
Zn 0.720 0.279 0.502
Zn 0.771 0.022 0.984
Ag 0.107 0.006 0.714
Ag 0.391 0.297 0.768
Ag 0.609 0.703 0.232
Ag 0.893 0.994 0.286

=====

Record 9
! CaZr2GaN4 | the Alexandria database | PBE | relaxed; values from VASP
! - Uncorrected formation energy: -1.14 eV per atom
&SYSTEM
  ibrav = 0, nat = 16, ntyp = 4
/
ATOMIC_SPECIES
Ca 40.08 Ca.upf
Zr 91.22 Zr.upf
Ga 69.72 Ga.upf
N 14.01 N.upf
CELL_PARAMETERS angstrom
1.633 -5.630 0.000
1.633 5.630 0.000
0.000 0.000 11.396
ATOMIC_POSITIONS crystal
Ca 0.101 0.899 0.750
Ca 0.899 0.101 0.250
Zr 0.371 0.629 0.539
Zr 0.371 0.629 0.961
Zr 0.629 0.371 0.039
Zr 0.629 0.371 0.461
Ga 0.166 0.834 0.250
Ga 0.834 0.166 0.750
N 0.000 0.000 0.000
N 0.000 0.000 0.500
N 0.268 0.732 0.115
N 0.268 0.732 0.385
N 0.432 0.568 0.750
N 0.568 0.432 0.250
N 0.732 0.268 0.615
N 0.732 0.268 0.885

=====

Record 10
! Nd2Ga3Cu2 | the Alexandria database | PBE | relaxed; values from VASP
! - ΔE to the lowest computed polymorph: 0.0000 eV per atom
! - Formation energy from the elements: -0.464 eV/atom
&SYSTEM
  ibrav = 0, nat = 14, ntyp = 3
/
ATOMIC_SPECIES
Nd 144.24 Nd.upf
Ga 69.72 Ga.upf
Cu 63.55 Cu.upf
CELL_PARAMETERS angstrom
2.172 -9.295 0.000
2.172 9.295 0.000
0.000 0.000 7.033
ATOMIC_POSITIONS crystal
Nd 0.056 0.944 0.750
Nd 0.161 0.839 0.250
Nd 0.839 0.161 0.750
Nd 0.944 0.056 0.250
Ga 0.224 0.776 0.750
Ga 0.438 0.562 0.571
Ga 0.438 0.562 0.929
Ga 0.562 0.438 0.071
Ga 0.562 0.438 0.429
Ga 0.776 0.224 0.250
Cu 0.312 0.688 0.066
Cu 0.312 0.688 0.434
Cu 0.688 0.312 0.566
Cu 0.688 0.312 0.934

=====

Record 11
! Ca2YAlCo | the Alexandria database | PBE | relaxed; values from VASP
! - Formation energy from the elements: 0.469 eV/atom
&SYSTEM
  ibrav = 0, nat = 5, ntyp = 4
/
ATOMIC_SPECIES
Ca 40.08 Ca.upf
Y 88.91 Y.upf
Al 26.98 Al.upf
Co 58.93 Co.upf
CELL_PARAMETERS angstrom
5.691 0.000 0.000
0.000 5.691 0.000
0.000 0.000 4.482
ATOMIC_POSITIONS crystal
Ca 0.000 0.500 0.000
Ca 0.500 0.000 0.000
Y 0.000 0.000 0.500
Al 0.500 0.500 0.000
Co 0.500 0.500 0.500

=====

Record 12
! TmThP2 | the Alexandria database | PBE | relaxed; values from VASP
! - ΔE to the lowest computed polymorph: 0.0000 eV per atom
! - Formation energy from the elements: -1.571 eV/atom
&SYSTEM
  ibrav = 0, nat = 4, ntyp = 3
/
ATOMIC_SPECIES
Tm 168.93 Tm.upf
Th 232.04 Th.upf
P 30.97 P.upf
CELL_PARAMETERS angstrom
2.031 1.172 6.559
-2.031 1.172 6.559
0.000 -2.345 6.559
ATOMIC_POSITIONS crystal
Tm 0.000 0.000 0.000
Th 0.500 0.500 0.500
P 0.254 0.254 0.254
P 0.746 0.746 0.746

=====

no.,DFT total energy (eV per atom),total magnetic moment (μB/f.u.)
1,-7.484,6.76
2,-2.993,0.86
3,-3.434,4.00
4,-2.980,1.06
5,-1.797,0.33
6,-4.631,0.00
7,-6.458,5.91
8,-2.202,0.00
9,-8.072,0.00
10,-4.293,0.00
11,-3.795,0.37
12,-7.249,0.00